Entry 1:
## Na2Pm2TeO6 (GGA-PBE)

Data for a relaxed structure of Na2Pm2TeO6.

Unit cell a=6.0859 b=6.0859 c=5.9301 alpha=98.06 beta=98.06 gamma=120.03
Last column: nearest neighbours and their distance in Å.
Fractional coordinates of all 11 atoms:
Na 0.1509 0.8491 0.0000  4 O 2.46-2.53
Na 0.8491 0.1509 0.0000  4 O 2.46-2.53
Pm 0.3359 0.6641 0.5000  6 O 2.34-2.41
Pm 0.6641 0.3359 0.5000  6 O 2.34-2.41
Te 0.0000 0.0000 0.5000  6 O 2.18-2.26
O 0.0447 0.3713 0.6996  1 Te 2.26, 2 Pm 2.34-2.39, 1 Na 2.46
O 0.2468 0.2468 0.2954  1 Te 2.18, 2 Pm 2.41
O 0.3713 0.0447 0.6996  1 Te 2.26, 2 Pm 2.34-2.39, 1 Na 2.46
O 0.6287 0.9553 0.3004  1 Te 2.26, 2 Pm 2.34-2.39, 1 Na 2.46
O 0.7532 0.7532 0.7046  1 Te 2.18, 2 Pm 2.41
O 0.9553 0.6287 0.3004  1 Te 2.26, 2 Pm 2.34-2.39, 1 Na 2.46

Results
- Total energy: -6.260 eV per atom
- N(E_F): 0.00 states/eV per atom
- Calculated density: 5.1 g/cm³

---

Entry 2:
## Na2PmTeO6 (GGA-PBE)

Data for a relaxed structure of Na2PmTeO6.

Unit cell a=5.7598 b=5.9041 c=10.0426 alpha=90.00 beta=125.00 gamma=90.00
Last column: nearest neighbours and their distance in Å.
Fractional coordinates of all 20 atoms:
Na 0.2450 0.0360 0.2543  4 O 2.43-2.60
Na 0.2450 0.4640 0.7543  4 O 2.43-2.60
Na 0.7550 0.5360 0.2457  4 O 2.43-2.60
Na 0.7550 0.9640 0.7457  4 O 2.43-2.60
Pm 0.5000 0.0000 0.0000  6 O 2.31-2.35
Pm 0.5000 0.5000 0.5000  6 O 2.31-2.35
Te 0.0000 0.0000 0.5000  6 O 1.94-1.95
Te 0.0000 0.5000 0.0000  6 O 1.94-1.95
O 0.1218 0.2312 0.9435  1 Te 1.95
O 0.1218 0.2688 0.4435  1 Te 1.95
O 0.2272 0.6850 0.9562  1 Te 1.94
O 0.2272 0.8150 0.4562  1 Te 1.94
O 0.3210 0.0377 0.7251  1 Te 1.94
O 0.3210 0.4623 0.2251  1 Te 1.94
O 0.6790 0.5377 0.7749  1 Te 1.94
O 0.6790 0.9623 0.2749  1 Te 1.94
O 0.7728 0.1850 0.5438  1 Te 1.94
O 0.7728 0.3150 0.0438  1 Te 1.94
O 0.8782 0.7312 0.5565  1 Te 1.95
O 0.8782 0.7688 0.0565  1 Te 1.95

Results
- Total energy: -5.815 eV per atom
- N(E_F): 0.76 states/eV per atom
- Calculated density: 4.9 g/cm³

---

Entry 3:
## Na3Pm2TiO6 (GGA-PBE)

Data for a relaxed structure of Na3Pm2TiO6.

Unit cell a=5.8734 b=5.8734 c=5.9060 alpha=99.37 beta=99.37 gamma=119.62
Last column: nearest neighbours and their distance in Å.
Fractional coordinates of all 12 atoms:
Na 0.0000 0.0000 0.0000  4 O 2.46
Na 0.3440 0.6560 0.0000  6 O 2.44-2.69
Na 0.6560 0.3440 0.0000  6 O 2.44-2.69
Pm 0.1709 0.8291 0.5000  6 O 2.35-2.40
Pm 0.8291 0.1709 0.5000  6 O 2.35-2.40
Ti 0.5000 0.5000 0.5000  6 O 2.03-2.21
O 0.1143 0.4244 0.2814  1 Ti 2.21, 2 Pm 2.35-2.36, 2 Na 2.46-2.47
O 0.2748 0.2748 0.6965  1 Ti 2.03
O 0.4244 0.1143 0.2814  1 Ti 2.21, 2 Pm 2.35-2.36, 2 Na 2.46-2.47
O 0.5756 0.8857 0.7186  1 Ti 2.21, 2 Pm 2.35-2.36, 2 Na 2.46-2.47
O 0.7252 0.7252 0.3035  1 Ti 2.03
O 0.8857 0.5756 0.7186  1 Ti 2.21, 2 Pm 2.35-2.36, 2 Na 2.46-2.47

Results
- Total energy: -6.772 eV per atom
- N(E_F): 0.15 states/eV per atom
- Calculated density: 5.0 g/cm³

---

Entry 4:
## Na2PmTiO4 (GGA-PBE)

Data for a relaxed structure of Na2PmTiO4.

Unit cell a=5.7069 b=3.3175 c=5.8952 alpha=90.00 beta=109.08 gamma=90.00
Last column: nearest neighbours and their distance in Å.
Fractional coordinates of all 8 atoms:
Na 0.0000 0.0000 0.0000  6 O 2.56-2.64
Na 0.5000 0.5000 0.0000  6 O 2.41-2.42
Pm 0.0000 0.5000 0.5000  6 O 2.34
Ti 0.5000 0.0000 0.5000  6 O 2.08-2.18
O 0.2726 0.0000 0.7139  1 Ti 2.08
O 0.2873 0.5000 0.2931  2 Ti 2.18, 1 Pm 2.34, 1 Na 2.41
O 0.7127 0.5000 0.7069  2 Ti 2.18, 1 Pm 2.34, 1 Na 2.41
O 0.7274 0.0000 0.2861  1 Ti 2.08

Results
- Total energy: -6.830 eV per atom
- N(E_F): 0.28 states/eV per atom
- Calculated density: 4.8 g/cm³

---

Entry 5:
## NaPmTl4O8 (GGA-PBE)

Data for a relaxed structure of NaPmTl4O8.

Unit cell a=6.9026 b=6.9026 c=6.9026 alpha=59.83 beta=59.83 gamma=59.83
Last column: nearest neighbours and their distance in Å.
Fractional coordinates of all 14 atoms:
Na 0.0000 0.0000 0.0000  4 O 2.29-2.38
Pm 0.3752 0.3752 0.3752  6 O 2.32-2.41
Tl 0.3753 0.3753 0.8889  6 O 2.27-2.39
Tl 0.3753 0.8889 0.3753  6 O 2.27-2.39
Tl 0.7580 0.7580 0.7580  4 O 2.22-2.35
Tl 0.8889 0.3753 0.3753  6 O 2.27-2.39
O 0.1374 0.1374 0.5926  2 Tl 2.27, 1 Na 2.29, 1 Pm 2.32
O 0.1374 0.5926 0.1374  2 Tl 2.27, 1 Na 2.29, 1 Pm 2.32
O 0.1405 0.1405 0.1405  3 Tl 2.29, 1 Na 2.38
O 0.1522 0.6218 0.6218  3 Tl 2.22-2.39, 1 Pm 2.41
O 0.5926 0.1374 0.1374  2 Tl 2.27, 1 Na 2.29, 1 Pm 2.32
O 0.6191 0.6191 0.6191  4 Tl 2.35-2.38
O 0.6218 0.1522 0.6218  3 Tl 2.22-2.39, 1 Pm 2.41
O 0.6218 0.6218 0.1522  3 Tl 2.22-2.39, 1 Pm 2.41

Results
- Total energy: -5.141 eV per atom
- N(E_F): 1.34 states/eV per atom
- Calculated density: 8.0 g/cm³

---

Entry 6:
## Na2Pm2TlO6 (GGA-PBE)

Data for a relaxed structure of Na2Pm2TlO6.

Unit cell a=6.2399 b=6.2399 c=5.8642 alpha=97.73 beta=97.73 gamma=122.27
Last column: nearest neighbours and their distance in Å.
Fractional coordinates of all 11 atoms:
Na 0.1565 0.8435 0.0000  6 O 2.43-2.70
Na 0.8435 0.1565 0.0000  6 O 2.43-2.70
Pm 0.3367 0.6633 0.5000  6 O 2.32-2.45
Pm 0.6633 0.3367 0.5000  6 O 2.32-2.45
Tl 0.0000 0.0000 0.5000  2 O 2.13
O 0.0429 0.4010 0.7136  2 Pm 2.32-2.36, 1 Na 2.43, 1 Tl 2.50
O 0.2423 0.2423 0.2970  1 Tl 2.13
O 0.4010 0.0429 0.7136  2 Pm 2.32-2.36, 1 Na 2.43, 1 Tl 2.50
O 0.5990 0.9571 0.2864  2 Pm 2.32-2.36, 1 Na 2.43, 1 Tl 2.50
O 0.7577 0.7577 0.7030  1 Tl 2.13
O 0.9571 0.5990 0.2864  2 Pm 2.32-2.36, 1 Na 2.43, 1 Tl 2.50

Results
- Total energy: -5.980 eV per atom
- N(E_F): 0.93 states/eV per atom
- Calculated density: 5.7 g/cm³

---

Entry 7:
## Na3Pm2TmO6 (GGA-PBE)

Data for a relaxed structure of Na3Pm2TmO6.

Unit cell a=6.0545 b=6.0545 c=5.9552 alpha=99.68 beta=99.68 gamma=120.05
Last column: nearest neighbours and their distance in Å.
Fractional coordinates of all 12 atoms:
Na 0.0000 0.0000 0.0000  6 O 2.55-2.64
Na 0.3400 0.6600 0.0000  6 O 2.51-2.69
Na 0.6600 0.3400 0.0000  6 O 2.51-2.69
Pm 0.1669 0.8331 0.5000  6 O 2.38
Pm 0.8331 0.1669 0.5000  6 O 2.38
Tm 0.5000 0.5000 0.5000  6 O 2.28
O 0.1088 0.4294 0.2868  1 Tm 2.28, 2 Pm 2.38, 1 Na 2.54
O 0.2493 0.2493 0.7117  1 Tm 2.28, 2 Pm 2.38, 2 Na 2.51
O 0.4294 0.1088 0.2868  1 Tm 2.28, 2 Pm 2.38, 1 Na 2.54
O 0.5706 0.8912 0.7132  1 Tm 2.28, 2 Pm 2.38, 1 Na 2.54
O 0.7507 0.7507 0.2883  1 Tm 2.28, 2 Pm 2.38, 2 Na 2.51
O 0.8912 0.5706 0.7132  1 Tm 2.28, 2 Pm 2.38, 1 Na 2.54

Results
- Total energy: -6.691 eV per atom
- N(E_F): 0.00 states/eV per atom
- Calculated density: 5.8 g/cm³

---

Entry 8:
## Na4Pm3TmO8 (GGA-PBE)

Data for a relaxed structure of Na4Pm3TmO8.

Unit cell a=6.9234 b=6.9234 c=6.9234 alpha=60.93 beta=60.93 gamma=60.93
Last column: nearest neighbours and their distance in Å.
Fractional coordinates of all 16 atoms:
Na 0.0000 0.0000 0.0000  6 O 2.64
Na 0.0000 0.5000 0.5000  6 O 2.57-2.58
Na 0.5000 0.0000 0.5000  6 O 2.57-2.58
Na 0.5000 0.5000 0.0000  6 O 2.57-2.58
Pm 0.0000 0.0000 0.5000  6 O 2.36-2.38
Pm 0.0000 0.5000 0.0000  6 O 2.36-2.38
Pm 0.5000 0.0000 0.0000  6 O 2.36-2.38
Tm 0.5000 0.5000 0.5000  6 O 2.29
O 0.2387 0.2387 0.2387  3 Pm 2.36, 3 Na 2.58
O 0.2484 0.7321 0.7321  1 Tm 2.29, 2 Pm 2.38, 2 Na 2.57
O 0.2679 0.2679 0.7516  1 Tm 2.29, 2 Pm 2.38, 2 Na 2.57
O 0.2679 0.7516 0.2679  1 Tm 2.29, 2 Pm 2.38, 2 Na 2.57
O 0.7321 0.2484 0.7321  1 Tm 2.29, 2 Pm 2.38, 2 Na 2.57
O 0.7321 0.7321 0.2484  1 Tm 2.29, 2 Pm 2.38, 2 Na 2.57
O 0.7516 0.2679 0.2679  1 Tm 2.29, 2 Pm 2.38, 2 Na 2.57
O 0.7613 0.7613 0.7613  3 Pm 2.36, 3 Na 2.58

Results
- Total energy: -6.676 eV per atom
- N(E_F): 0.00 states/eV per atom
- Calculated density: 5.7 g/cm³

---

Entry 9:
## Na2PmTmO4 (GGA-PBE)

Data for a relaxed structure of Na2PmTmO4.

Unit cell a=5.9436 b=3.4605 c=6.0016 alpha=90.00 beta=109.68 gamma=90.00
Last column: nearest neighbours and their distance in Å.
Fractional coordinates of all 8 atoms:
Na 0.0000 0.0000 0.0000  6 O 2.53-2.54
Na 0.0000 0.5000 0.5000  6 O 2.60-2.62
Pm 0.5000 0.0000 0.5000  6 O 2.36-2.37
Tm 0.5000 0.5000 0.0000  6 O 2.27-2.29
O 0.2868 0.5000 0.2505  1 Tm 2.27, 2 Pm 2.36, 2 Na 2.54
O 0.2898 0.0000 0.7731  2 Tm 2.29, 1 Pm 2.37, 1 Na 2.53
O 0.7102 0.0000 0.2269  2 Tm 2.29, 1 Pm 2.37, 1 Na 2.53
O 0.7132 0.5000 0.7495  1 Tm 2.27, 2 Pm 2.36, 2 Na 2.54

Results
- Total energy: -6.709 eV per atom
- N(E_F): 0.00 states/eV per atom
- Calculated density: 6.1 g/cm³

---

Entry 10:
## NaPmTm4O8 (GGA-PBE)

Data for a relaxed structure of NaPmTm4O8.

Unit cell a=6.8247 b=6.8247 c=6.8247 alpha=59.08 beta=59.08 gamma=59.08
Last column: nearest neighbours and their distance in Å.
Fractional coordinates of all 14 atoms:
Na 0.0000 0.0000 0.0000  4 O 2.33-2.42
Pm 0.3743 0.3743 0.3743  6 O 2.29-2.42
Tm 0.3733 0.3733 0.8856  6 O 2.19-2.36
Tm 0.3733 0.8856 0.3733  6 O 2.19-2.36
Tm 0.7522 0.7522 0.7522  4 O 2.17-2.23
Tm 0.8856 0.3733 0.3733  6 O 2.19-2.36
O 0.1370 0.1370 0.5769  2 Tm 2.19, 1 Pm 2.29, 1 Na 2.33
O 0.1370 0.5769 0.1370  2 Tm 2.19, 1 Pm 2.29, 1 Na 2.33
O 0.1440 0.1440 0.1440  3 Tm 2.20, 1 Na 2.42
O 0.1450 0.6256 0.6256  3 Tm 2.17-2.34, 1 Pm 2.42
O 0.5769 0.1370 0.1370  2 Tm 2.19, 1 Pm 2.29, 1 Na 2.33
O 0.6197 0.6197 0.6197  4 Tm 2.23-2.36
O 0.6256 0.1450 0.6256  3 Tm 2.17-2.34, 1 Pm 2.42
O 0.6256 0.6256 0.1450  3 Tm 2.17-2.34, 1 Pm 2.42

Results
- Total energy: -7.830 eV per atom
- N(E_F): 0.00 states/eV per atom
- Calculated density: 7.3 g/cm³

---

Entry 11:
## Na3PmTm2O6 (GGA-PBE)

Data for a relaxed structure of Na3PmTm2O6.

Unit cell a=5.9428 b=5.9428 c=5.9242 alpha=99.58 beta=99.58 gamma=120.03
Last column: nearest neighbours and their distance in Å.
Fractional coordinates of all 12 atoms:
Na 0.0000 0.0000 0.0000  6 O 2.49-2.59
Na 0.3285 0.6715 0.0000  6 O 2.47-2.62
Na 0.6715 0.3285 0.0000  6 O 2.47-2.62
Pm 0.5000 0.5000 0.5000  6 O 2.37
Tm 0.1665 0.8335 0.5000  6 O 2.27
Tm 0.8335 0.1665 0.5000  6 O 2.27
O 0.0843 0.4303 0.2901  2 Tm 2.27, 1 Pm 2.37, 1 Na 2.47
O 0.2240 0.2240 0.7114  2 Tm 2.27, 1 Pm 2.37, 1 Na 2.49
O 0.4303 0.0843 0.2901  2 Tm 2.27, 1 Pm 2.37, 1 Na 2.47
O 0.5697 0.9157 0.7099  2 Tm 2.27, 1 Pm 2.37, 1 Na 2.47
O 0.7760 0.7760 0.2886  2 Tm 2.27, 1 Pm 2.37, 1 Na 2.49
O 0.9157 0.5697 0.7099  2 Tm 2.27, 1 Pm 2.37, 1 Na 2.47

Results
- Total energy: -6.740 eV per atom
- N(E_F): 0.00 states/eV per atom
- Calculated density: 6.3 g/cm³

---

Entry 12:
## NaPmUO4 (GGA-PBE)

Data for a relaxed structure of NaPmUO4.

Unit cell a=7.0538 b=7.0538 c=7.0538 alpha=120.45 beta=119.38 gamma=90.15
Last column: nearest neighbours and their distance in Å.
Fractional coordinates of all 14 atoms:
Na 0.3653 0.1153 0.2500  4 O 2.42-2.55
Na 0.6347 0.8847 0.7500  4 O 2.42-2.55
Pm 0.0000 0.5000 0.5000  6 O 2.38-2.39
Pm 0.5000 0.5000 0.0000  6 O 2.38-2.39
U 0.0000 0.0000 0.5000  6 O 2.21-2.29
U 0.0000 0.5000 0.0000  6 O 2.21-2.29
O 0.1945 0.7379 0.4566  2 U 2.29, 1 Pm 2.39, 1 Na 2.55
O 0.2186 0.2621 0.9566  2 U 2.29, 1 Pm 2.39, 1 Na 2.55
O 0.2209 0.2490 0.5281  1 U 2.21, 2 Pm 2.38, 1 Na 2.42
O 0.2209 0.6929 0.9719  1 U 2.21, 2 Pm 2.38, 1 Na 2.42
O 0.7791 0.3071 0.0281  1 U 2.21, 2 Pm 2.38, 1 Na 2.42
O 0.7791 0.7510 0.4719  1 U 2.21, 2 Pm 2.38, 1 Na 2.42
O 0.7814 0.7379 0.0434  2 U 2.29, 1 Pm 2.39, 1 Na 2.55
O 0.8055 0.2621 0.5434  2 U 2.29, 1 Pm 2.39, 1 Na 2.55

Results
- Total energy: -8.178 eV per atom
- N(E_F): 0.42 states/eV per atom
- Calculated density: 6.3 g/cm³

---

Entry 13:
## NaPm2UO6 (GGA-PBE)

Data for a relaxed structure of NaPm2UO6.

Unit cell a=6.2060 b=6.2060 c=6.2060 alpha=57.64 beta=57.64 gamma=57.64
Last column: nearest neighbours and their distance in Å.
Fractional coordinates of all 10 atoms:
Na 0.0000 0.0000 0.0000  6 O 2.43-2.64
Pm 0.2717 0.2717 0.2717  6 O 2.34-2.48
Pm 0.7797 0.7797 0.7797  6 O 2.32-2.45
U 0.4846 0.4846 0.4846  6 O 2.16-2.18
O 0.1161 0.6581 0.4036  1 U 2.16, 1 Pm 2.32
O 0.2082 0.5785 0.8563  1 U 2.18, 1 Pm 2.34
O 0.4036 0.1161 0.6581  1 U 2.16, 1 Pm 2.32
O 0.5785 0.8563 0.2082  1 U 2.18, 1 Pm 2.34
O 0.6581 0.4036 0.1161  1 U 2.16, 1 Pm 2.32
O 0.8563 0.2082 0.5785  1 U 2.18, 1 Pm 2.34

Results
- Total energy: -8.292 eV per atom
- Calculated density: 6.7 g/cm³

---

Energy relative to the elements, uncorrected values (in eV per atom) by entry order: -2.1664, -1.7870, -2.5139, -2.4405, -1.1984, -1.9566, -2.7180, -2.6967, -2.7471, -3.2858, -2.7895, -2.8653, -3.1059.